No. 1
This record from Alexandria describes an optimized crystal structure of Ca6As2PN. The functional is PBE-GGA.

Structure (POSCAR):
```
Ca6As2PN
1.0
6.953 0.000 0.000
0.000 7.303 0.000
-6.951 0.000 9.943
Ca As P N
12 4 2 2
Direct
0.121 0.211 0.443
0.121 0.289 0.943
0.237 0.682 0.448
0.237 0.818 0.948
0.340 0.044 0.234
0.340 0.456 0.734
0.660 0.544 0.266
0.660 0.956 0.766
0.763 0.182 0.052
0.763 0.318 0.552
0.879 0.711 0.057
0.879 0.789 0.557
0.233 0.065 0.751
0.233 0.435 0.251
0.767 0.565 0.749
0.767 0.935 0.249
0.500 0.000 0.500
0.500 0.500 0.000
0.000 0.000 0.000
0.000 0.500 0.500
```

Results
The size of the total moment comes out at 0.0 μB/f.u. The uncorrected formation energy is -1.082 eV/atom. For the raw total energy, the calculation gives -4.587 eV/atom.

***

No. 2
This record from Alexandria describes an optimized crystal structure of Na4PdF5. The functional is PBE-GGA.

Structure (POSCAR):
```
Na4PdF5
1.0
-3.759 3.759 2.364
3.759 -3.759 2.364
3.759 3.759 -2.364
Na Pd F
4 1 5
Direct
0.105 0.301 0.406
0.301 0.895 0.196
0.699 0.105 0.804
0.895 0.699 0.594
0.500 0.500 0.000
0.000 0.000 0.000
0.189 0.606 0.795
0.394 0.189 0.583
0.606 0.811 0.417
0.811 0.394 0.205
```

Results
The size of the total moment comes out at 1.0 μB/f.u. The uncorrected formation energy is -2.229 eV/atom. For the raw total energy, the calculation gives -4.211 eV/atom.

***

No. 3
This record from Alexandria describes an optimized crystal structure of KLa2Ag. The functional is PBE-GGA.

Structure (POSCAR):
```
KLa2Ag
1.0
5.617 -1.802 0.000
5.617 1.802 0.000
-1.630 0.000 7.675
K La Ag
1 2 1
Direct
0.000 0.000 0.000
0.205 0.205 0.639
0.457 0.457 0.460
0.718 0.718 0.306
```

Results
The size of the total moment comes out at 0.0 μB/f.u. For the raw total energy, the calculation gives -3.201 eV/atom. The formation energy comes out at 0.25 eV per atom. The offset from the most stable computed form is 200 meV per atom.

***

No. 4
This record from Alexandria describes an optimized crystal structure of KTl2Te. The functional is PBE-GGA.

Structure (POSCAR):
```
KTl2Te
1.0
6.498 -2.106 0.000
6.498 2.106 0.000
-2.406 0.000 5.087
K Tl Te
1 2 1
Direct
0.000 0.000 0.000
0.218 0.218 0.717
0.782 0.782 0.283
0.500 0.500 0.500
```

Results
The size of the total moment comes out at 0.0 μB/f.u. The uncorrected formation energy is -0.401 eV/atom. For the raw total energy, the calculation gives -2.644 eV/atom. The offset from the most stable computed form is 14 meV per atom.

***

No. 5
This record from Alexandria describes an optimized crystal structure of RbPuClF6. The functional is PBE-GGA.

Structure (POSCAR):
```
RbPuClF6
1.0
6.945 0.000 0.000
-3.472 6.015 0.000
0.000 0.000 5.325
Rb Pu Cl F
1 1 1 6
Direct
0.000 0.000 0.000
0.667 0.333 0.500
0.333 0.667 0.500
0.415 0.108 0.728
0.415 0.308 0.272
0.692 0.108 0.272
0.692 0.585 0.728
0.892 0.308 0.728
0.892 0.585 0.272
```

Results
The size of the total moment comes out at 3.6 μB/f.u. The uncorrected formation energy is -2.619 eV/atom. For the raw total energy, the calculation gives -5.771 eV/atom.

***

No. 6
This record from Alexandria describes an optimized crystal structure of Mn2IrRh. The functional is PBE-GGA.

Structure (POSCAR):
```
Mn2IrRh
1.0
1.333 0.770 8.431
-1.333 0.770 8.431
0.000 -1.540 8.431
Mn Ir Rh
2 1 1
Direct
0.250 0.250 0.250
0.750 0.750 0.750
0.000 0.000 0.000
0.500 0.500 0.500
```

Results
The size of the total moment comes out at 2.3 μB/f.u. For the raw total energy, the calculation gives -8.595 eV/atom. The formation energy comes out at 0.04 eV per atom.

***

No. 7
This record from Alexandria describes an optimized crystal structure of ZrTe2BrCl. The functional is PBE-GGA.

Structure (POSCAR):
```
ZrTe2BrCl
1.0
5.233 0.000 0.000
0.000 5.233 0.000
0.000 0.000 5.417
Zr Te Br Cl
1 2 1 1
Direct
0.000 0.000 0.000
0.000 0.500 0.500
0.500 0.000 0.500
0.500 0.500 0.000
0.500 0.500 0.500
```

Results
The size of the total moment comes out at 0.0 μB/f.u. The uncorrected formation energy is 0.661 eV/atom. For the raw total energy, the calculation gives -3.009 eV/atom.

***

No. 8
This record from Alexandria describes an optimized crystal structure of CrFeAs. The functional is PBE-GGA.

Structure (POSCAR):
```
CrFeAs
1.0
2.745 0.000 0.000
-1.373 2.377 0.000
0.000 0.000 5.924
Cr Fe As
1 1 1
Direct
0.000 0.000 0.000
0.333 0.667 0.309
0.667 0.333 0.652
```

Results
The size of the total moment comes out at 0.7 μB/f.u. For the raw total energy, the calculation gives -7.326 eV/atom. The formation energy comes out at 0.25 eV per atom.

***

No. 9
This record from Alexandria describes an optimized crystal structure of FeWAu2. The functional is PBE-GGA.

Structure (POSCAR):
```
FeWAu2
1.0
4.615 -1.382 0.000
4.615 1.382 0.000
-0.723 0.000 5.006
Fe W Au
1 1 2
Direct
0.000 0.000 0.000
0.747 0.747 0.228
0.254 0.254 0.747
0.497 0.497 0.476
```

Results
The size of the total moment comes out at 2.2 μB/f.u. For the raw total energy, the calculation gives -6.649 eV/atom. The formation energy comes out at 0.34 eV per atom. The offset from the most stable computed form is 109 meV per atom.

***

No. 10
This record from Alexandria describes an optimized crystal structure of TlV2ZnSn. The functional is PBE-GGA.

Structure (POSCAR):
```
TlV2ZnSn
1.0
5.264 0.000 0.000
0.000 5.264 0.000
0.000 0.000 5.537
Tl V Zn Sn
1 2 1 1
Direct
0.000 0.000 0.000
0.000 0.500 0.000
0.500 0.000 0.000
0.500 0.500 0.500
0.000 0.000 0.500
```

Results
The size of the total moment comes out at 7.0 μB/f.u. For the raw total energy, the calculation gives -3.694 eV/atom. The formation energy comes out at 1.48 eV per atom.

***

No. 11
This record from Alexandria describes an optimized crystal structure of YNi2W. The functional is PBE-GGA.

Structure (POSCAR):
```
YNi2W
1.0
3.124 0.000 0.000
0.000 3.124 0.000
0.000 0.000 6.675
Y Ni W
1 2 1
Direct
0.000 0.000 0.000
0.500 0.500 0.302
0.500 0.500 0.698
0.000 0.000 0.500
```

Results
The size of the total moment comes out at 0.0 μB/f.u. For the raw total energy, the calculation gives -7.697 eV/atom. The formation energy comes out at 0.05 eV per atom. The offset from the most stable computed form is 116 meV per atom.

***

No. 12
This record from Alexandria describes an optimized crystal structure of Na2Ni4B. The functional is PBE-GGA.

Structure (POSCAR):
```
Na2Ni4B
1.0
-1.953 1.953 7.083
1.953 -1.953 7.083
1.953 1.953 -7.083
Na Ni B
2 4 1
Direct
0.160 0.160 0.000
0.840 0.840 0.000
0.000 0.500 0.500
0.370 0.370 0.000
0.500 0.000 0.500
0.630 0.630 0.000
0.500 0.500 0.000
```

Results
The size of the total moment comes out at 0.0 μB/f.u. For the raw total energy, the calculation gives -4.321 eV/atom. The formation energy comes out at 0.31 eV per atom.